(1)
# RbSnTe

A geometry-optimized RbSnTe structure (PBE, Alexandria).

```
RbSnTe
1.0
4.943 0.000 0.000
2.021 4.512 0.000
1.677 1.073 11.949
Rb Sn Te
2 2 2
Cartesian
0.000 0.000 0.000 Rb
2.333 1.503 6.510 Rb
2.423 1.573 2.595 Sn
4.796 3.111 3.504 Sn
4.003 2.580 9.575 Te
6.983 4.511 8.838 Te
```

Calculated values
E_form (uncorrected) = -0.29 eV/atom
space group = No. 1
DOS at the Fermi energy = 3.562 states/eV/cell

(2)
# Rb4SnTe4

A geometry-optimized Rb4SnTe4 structure (PBE, Alexandria).

```
Rb4SnTe4
1.0
-4.302 4.302 7.145
4.302 -4.302 7.145
4.302 4.302 -7.145
Rb Sn Te
4 1 4
Cartesian
4.302 0.000 0.000 Rb
0.000 0.000 2.735 Rb
0.000 4.302 0.000 Rb
0.000 0.000 11.556 Rb
0.000 0.000 7.145 Sn
1.603 -1.603 5.477 Te
2.699 2.699 1.668 Te
-1.603 1.603 5.477 Te
1.603 1.603 8.813 Te
```

Calculated values
E_form (uncorrected) = -0.78 eV/atom
space group = No. 121

(3)
# Rb2Sn2Te5

A geometry-optimized Rb2Sn2Te5 structure (PBE, Alexandria).

```
Rb2Sn2Te5
1.0
11.141 -4.969 0.000
11.141 4.969 0.000
-2.226 0.000 6.686
Rb Sn Te
4 4 10
Cartesian
10.027 3.018 3.343 Rb
14.312 1.958 4.774 Rb
11.141 -3.018 0.000 Rb
15.426 -1.958 1.431 Rb
5.896 1.615 6.191 Sn
13.278 2.480 0.798 Sn
7.009 -1.615 2.848 Sn
12.165 -2.480 4.141 Sn
2.043 0.010 2.599 Te
0.930 -0.010 5.942 Te
8.142 3.230 6.388 Te
7.232 1.092 2.157 Te
6.119 -1.092 5.500 Te
16.241 1.725 1.660 Te
11.117 0.009 5.624 Te
12.230 -0.009 2.281 Te
9.255 -3.230 3.045 Te
15.127 -1.725 5.003 Te
```

Calculated values
E_form (uncorrected) = -0.44 eV/atom
space group = No. 9
DOS at the Fermi energy = 5.122 states/eV/cell

(4)
# Rb2Sn2Te5

A geometry-optimized Rb2Sn2Te5 structure (PBE, Alexandria).

```
Rb2Sn2Te5
1.0
8.835 -2.922 0.000
8.835 2.922 0.000
-4.472 0.000 7.848
Rb Sn Te
2 2 5
Cartesian
-0.375 0.000 2.412 Rb
13.573 0.000 5.436 Rb
5.836 0.000 0.350 Sn
7.362 0.000 7.498 Sn
2.851 0.000 0.462 Te
5.363 0.000 3.211 Te
8.835 0.000 0.000 Te
7.835 0.000 4.637 Te
10.347 0.000 7.386 Te
```

Calculated values
E_form (uncorrected) = -0.49 eV/atom
space group = No. 12
DOS at the Fermi energy = 2.434 states/eV/cell

(5)
# RbSn2Te2

A geometry-optimized RbSn2Te2 structure (PBE, Alexandria).

```
RbSn2Te2
1.0
-2.355 2.355 8.075
2.355 -2.355 8.075
2.355 2.355 -8.075
Rb Sn Te
1 2 2
Cartesian
0.000 0.000 0.000 Rb
2.355 0.000 4.038 Sn
0.000 2.355 4.038 Sn
0.000 0.000 6.475 Te
0.000 0.000 9.676 Te
```

Calculated values
E_form (uncorrected) = -0.29 eV/atom
space group = No. 139
DOS at the Fermi energy = 1.834 states/eV/cell

(6)
# Rb3Sn4Te8

A geometry-optimized Rb3Sn4Te8 structure (PBE, Alexandria).

```
Rb3Sn4Te8
1.0
6.750 -6.765 0.000
6.750 6.765 0.000
-5.046 0.000 6.565
Rb Sn Te
3 4 8
Cartesian
0.000 0.000 0.000 Rb
3.375 3.383 0.000 Rb
3.375 -3.383 0.000 Rb
0.852 3.383 3.283 Sn
0.852 -3.383 3.283 Sn
6.750 0.000 0.000 Sn
4.228 0.000 3.283 Sn
6.750 3.069 0.000 Te
4.228 3.021 3.283 Te
1.193 0.000 3.553 Te
3.863 0.000 0.399 Te
4.592 0.000 6.166 Te
7.262 0.000 3.012 Te
4.228 -3.021 3.283 Te
6.750 -3.069 0.000 Te
```

Calculated values
E_form (uncorrected) = -0.30 eV/atom
space group = No. 12
DOS at the Fermi energy = 8.793 states/eV/cell

(7)
# Rb3Th3SnTe8

A geometry-optimized Rb3Th3SnTe8 structure (PBE, Alexandria).

```
Rb3Th3SnTe8
1.0
4.588 2.649 8.653
-4.588 2.649 8.653
0.000 -5.298 8.653
Rb Th Sn Te
3 3 1 8
Cartesian
-2.294 -1.324 8.653 Rb
-2.294 1.324 17.306 Rb
0.000 2.649 8.653 Rb
-4.588 0.000 12.980 Th
-2.294 1.324 4.327 Th
2.294 1.324 4.327 Th
0.000 0.000 12.980 Sn
-2.353 -1.358 14.726 Te
0.000 0.000 6.119 Te
0.000 -2.717 11.234 Te
-2.353 1.358 11.234 Te
2.353 -1.358 14.726 Te
0.000 2.717 14.726 Te
0.000 0.000 19.840 Te
2.353 1.358 11.234 Te
```

Calculated values
E_form (uncorrected) = -1.08 eV/atom
space group = No. 166
DOS at the Fermi energy = 7.155 states/eV/cell

(8)
# Rb2Th2SnTe6

A geometry-optimized Rb2Th2SnTe6 structure (PBE, Alexandria).

```
Rb2Th2SnTe6
1.0
3.988 -6.931 0.000
3.988 6.931 0.000
-2.580 0.000 8.683
Rb Th Sn Te
2 2 1 6
Cartesian
3.988 4.673 0.000 Rb
3.988 -4.673 0.000 Rb
2.698 2.310 4.342 Th
2.698 -2.310 4.342 Th
-1.290 0.000 4.342 Sn
0.073 2.366 6.073 Te
1.448 0.000 2.604 Te
0.073 -2.366 6.073 Te
5.322 2.366 2.611 Te
3.947 0.000 6.080 Te
5.322 -2.366 2.611 Te
```

Calculated values
E_form (uncorrected) = -1.07 eV/atom
space group = No. 12
DOS at the Fermi energy = 0.000 states/eV/cell

(9)
# RbTiSn2Te

A geometry-optimized RbTiSn2Te structure (PBE, Alexandria).

```
RbTiSn2Te
1.0
5.373 0.000 0.000
0.000 5.373 0.000
0.000 0.000 6.137
Rb Ti Sn Te
1 1 2 1
Cartesian
0.000 0.000 0.000 Rb
0.000 0.000 3.069 Ti
0.000 2.687 3.069 Sn
2.687 0.000 3.069 Sn
2.687 2.687 0.000 Te
```

Calculated values
E_form (uncorrected) = 0.36 eV/atom
space group = No. 123
DOS at the Fermi energy = 7.300 states/eV/cell

(10)
# RbTl2SnTe4

A geometry-optimized RbTl2SnTe4 structure (PBE, Alexandria).

```
RbTl2SnTe4
1.0
-4.507 4.799 6.644
4.507 -4.799 6.644
4.507 4.799 -6.644
Rb Tl Sn Te
2 4 2 8
Cartesian
-2.254 2.400 3.322 Rb
2.254 2.400 3.322 Rb
0.000 0.000 0.000 Tl
2.254 2.400 -3.322 Tl
2.254 -2.400 3.322 Tl
0.000 4.799 0.000 Tl
4.507 0.000 0.000 Sn
0.000 0.000 6.644 Sn
4.507 -0.301 3.206 Te
4.507 4.498 -3.206 Te
2.396 2.400 -0.176 Te
6.618 2.400 -0.176 Te
-2.111 2.400 6.820 Te
2.111 2.400 6.820 Te
0.000 0.301 9.851 Te
0.000 5.100 3.438 Te
```

Calculated values
E_form (uncorrected) = -0.28 eV/atom
space group = No. 74
DOS at the Fermi energy = 8.682 states/eV/cell